Compound: Li7Fe7SiO16
Source: the Alexandria database
Functional: GGA+U
Structure: relaxed

**Final energy**: -6.23 eV/atom
**N(E_F)**: 0.0000 states/eV per atom
**Spin magnetization**: 35.00 μB per cell

Cell lengths 5.111, 5.555, 13.056 Å; angles 89.83, 89.88, 89.88 degrees
Positions (direct):
O  0.127  0.072  0.939
O  0.139  0.097  0.452
O  0.573  0.860  0.320
O  0.122  0.101  0.173
O  0.635  0.449  0.209
O  0.630  0.934  0.554
O  0.110  0.589  0.070
O  0.129  0.573  0.808
O  0.111  0.088  0.685
O  0.612  0.914  0.817
O  0.616  0.418  0.415
O  0.187  0.532  0.309
O  0.626  0.930  0.058
O  0.629  0.432  0.691
O  0.610  0.415  0.934
O  0.114  0.591  0.567
Li  0.506  0.084  0.687
Li  0.499  0.060  0.192
Li  0.506  0.587  0.560
Li  0.005  0.918  0.812
Li  0.006  0.419  0.939
Li  0.014  0.425  0.437
Li  0.505  0.585  0.064
Fe  0.002  0.918  0.062
Fe  0.007  0.921  0.564
Fe  0.013  0.418  0.191
Fe  0.501  0.086  0.937
Fe  0.501  0.078  0.432
Fe  0.504  0.586  0.813
Fe  0.006  0.417  0.687
Si  0.505  0.572  0.314